The following is a DFT calculation (PBE+U) of a geometry-optimized Er2NpCrO8 structure.

a b c (Å): 6.892 7.164 6.654
angles (deg): 90.00 90.00 90.00
Space group Cmmm (No. 65)
Inequivalent atoms, fractional coordinates:
Er 0.000 0.000 0.235 (multiplicity 4)
Np 0.000 0.500 0.500 (multiplicity 2)
Cr 0.000 0.500 0.000 (multiplicity 2)
O 0.000 0.321 0.258 (multiplicity 8)
O 0.210 0.000 0.500 (multiplicity 4)
O 0.212 0.000 0.000 (multiplicity 4)

Crystal system: orthorhombic
Raw total energy: -8.572 eV/atom